Run 1
The following is a DFT calculation (GGA-PBE) of an optimized crystal structure of TlH2S.

Cell lengths 3.9310, 4.3739, 4.3791 Å; angles 89.99, 89.43, 89.75 degrees
Last column: nearest neighbours and their distance in Å.
Fractional positions:
1 Tl 0.0000 0.0000 0.0000  2 H 1.96-1.97
2 H 0.3495 0.4972 0.4938  1 S 1.35
3 H 0.5015 0.0003 0.0009  2 Tl 1.96-1.97
4 S 0.0060 0.5007 0.5016  1 H 1.35

* crystal system: triclinic

***

Run 2
The following is a DFT calculation (GGA-PBE) of an optimized crystal structure of TlH2S.

Cell lengths 5.4744, 5.4744, 5.4744 Å; angles 119.96, 119.96, 90.07 degrees
Last column: nearest neighbours and their distance in Å.
Fractional positions:
1 Tl 0.3750 0.6250 0.7500  12 H 3.21, 4 S 3.35, 4 Tl 3.35
2 Tl 0.6250 0.3750 0.2500  12 H 3.21, 4 S 3.35, 4 Tl 3.35
3 H 0.0000 0.0000 0.0000  2 S 1.68
4 H 0.0000 0.0000 0.5000  2 S 1.68
5 H 0.0000 0.5000 0.0000  2 S 1.68
6 H 0.5000 0.0000 0.5000  2 S 1.68
7 S 0.1250 0.8750 0.2500  4 H 1.68
8 S 0.8750 0.1250 0.7500  4 H 1.68

* crystal system: tetragonal

***

run 1 takes first place; second place is 0.245 eV/atom up.